(1)
Below is a geometry-optimized Tb6Tm2MgSc3 structure, with properties calculated at the GGA-PBE level.

Cell: 5.9961 10.3860 11.3196 Å, 90.00 100.19 90.00°
Last column: nearest neighbours and their distance in Å.
Space group C2/m (No. 12)
One atom of each set of equivalent atoms:
Tb 0.2481 0.0000 0.2426 (multiplicity 4)  3 Sc 3.36, 6 Tb 3.46-3.47, 2 Tm 3.49, 1 Mg 3.50
Tb 0.2477 0.3332 0.2431 (multiplicity 8)  3 Sc 3.37, 6 Tb 3.46-3.47, 2 Tm 3.49, 1 Mg 3.49
Tm 0.0000 0.3335 0.5000 (multiplicity 4)  3 Tm 3.46, 3 Mg 3.46, 6 Tb 3.49
Mg 0.0000 0.0000 0.5000 (multiplicity 2)  6 Tm 3.46, 6 Tb 3.49-3.50
Sc 0.0000 0.1664 0.0000 (multiplicity 4)  6 Tb 3.36-3.37, 6 Sc 3.46-3.47
Sc 0.0000 0.5000 0.0000 (multiplicity 2)  6 Tb 3.36-3.37, 6 Sc 3.46-3.47

Calculated values
density of states at the Fermi level	29.16	states/eV per cell
calculated formation energy	0.0453	eV per atom

=====

(2)
Below is a geometry-optimized Pr4NiHg2 structure, with properties calculated at the GGA-PBE level.

Cell: 5.3338 5.3338 15.6454 Å, 90.00 90.00 90.00°
Last column: nearest neighbours and their distance in Å.
Space group I4/mmm (No. 139)
One atom of each set of equivalent atoms:
Pr 0.0000 0.0000 0.1832 (multiplicity 4)  1 Ni 2.87, 1 Hg 3.04
Pr 0.0000 0.5000 0.0000 (multiplicity 4)  2 Ni 2.67
Ni 0.0000 0.0000 0.0000 (multiplicity 2)  6 Pr 2.67-2.87
Hg 0.0000 0.0000 0.3777 (multiplicity 4)  5 Pr 3.04-3.28

Calculated values
density of states at the Fermi level	17.07	states/eV per cell
calculated formation energy	-0.1989	eV per atom

=====

(3)
Below is a geometry-optimized ZrCdCo structure, with properties calculated at the GGA-PBE level.

Cell: 3.3059 17.0830 3.8707 Å, 90.00 90.00 90.00°
Last column: nearest neighbours and their distance in Å.
Space group Cmcm (No. 63)
One atom of each set of equivalent atoms:
Zr 0.0000 0.0823 0.2500 (multiplicity 4)  6 Co 2.61-2.78
Cd 0.0000 0.2963 0.2500 (multiplicity 4)  1 Co 2.64
Co 0.0000 0.4511 0.2500 (multiplicity 4)  2 Co 2.56, 6 Zr 2.61-2.78, 1 Cd 2.64

Calculated values
energy above the lowest structure with this stoichiometry	0.000	eV/atom
density of states at the Fermi level	9.93	states/eV per cell
calculated formation energy	-0.2460	eV per atom

=====

(4)
Below is a geometry-optimized Cs2MgNpI6 structure, with properties calculated at the GGA-PBE level.

Cell: 8.6784 8.6784 42.6792 Å, 90.00 90.00 120.00°
Last column: nearest neighbours and their distance in Å.
Space group R-3m (No. 166, hexagonal axes)
One atom of each set of equivalent atoms:
Cs 0.0000 0.0000 0.1229 (multiplicity 6)  12 I 4.29-4.34
Cs 0.0000 0.0000 0.2938 (multiplicity 6)  12 I 4.27-4.48
Mg 0.0000 0.0000 0.0000 (multiplicity 3)  6 I 3.00
Mg 0.0000 0.0000 0.5000 (multiplicity 3)  6 I 3.06
Np 0.0000 0.0000 0.4185 (multiplicity 6)  6 I 3.13-3.19, 1 Mg 3.48
I 0.0071 0.5035 0.7071 (multiplicity 18)  1 Mg 3.00, 1 Np 3.19
I 0.0072 0.5036 0.8726 (multiplicity 18)  1 Mg 3.06, 1 Np 3.13

Calculated values
density of states at the Fermi level	49.06	states/eV per cell

=====

Sequential E_tot output: -4.731, -3.842, -5.769, -3.641 eV per atom
Sequential M_tot output: 0.00, 0.00, 0.00, 4.99 μB/f.u.